Entry 1:
Compound: TbBeAlCu
Source: Alexandria
Functional: PBE-GGA
Structure: optimized geometry

a b c (Å): 4.5050 4.5050 4.5050
angles (deg): 60.00 60.00 60.00
Last column: nearest neighbours and their distance in Å.
Fractional coordinates of all 4 atoms:
Tb: 0.0000 0.0000 0.0000  4 Be 2.76, 4 Cu 2.76
Be: 0.2500 0.2500 0.2500  4 Tb 2.76, 4 Al 2.76
Al: 0.5000 0.5000 0.5000  4 Be 2.76, 4 Cu 2.76
Cu: 0.7500 0.7500 0.7500  4 Tb 2.76, 4 Al 2.76

Calculated values
Energy of formation   -0.208 eV per atom

---

Entry 2:
Compound: Th2Be3AlCu12
Source: Alexandria
Functional: PBE-GGA
Structure: optimized geometry

a b c (Å): 7.3510 7.3510 7.3510
angles (deg): 61.33 61.33 61.33
Last column: nearest neighbours and their distance in Å.
Fractional coordinates of all 18 atoms:
Th: 0.1065 0.1065 0.1065  6 Cu 2.84-2.85
Th: 0.8935 0.8935 0.8935  6 Cu 2.84-2.85
Be: 0.0000 0.5000 0.5000  6 Cu 2.09-2.13
Be: 0.5000 0.0000 0.5000  6 Cu 2.09-2.13
Be: 0.5000 0.5000 0.0000  6 Cu 2.09-2.13
Al: 0.5000 0.5000 0.5000  6 Cu 2.38
Cu: 0.1094 0.6244 0.6244  1 Be 2.13, 1 Al 2.38
Cu: 0.1636 0.1636 0.6019  2 Be 2.09
Cu: 0.1636 0.6019 0.1636  2 Be 2.09
Cu: 0.3756 0.3756 0.8906  1 Be 2.13, 1 Al 2.38
Cu: 0.3756 0.8906 0.3756  1 Be 2.13, 1 Al 2.38
Cu: 0.3981 0.8364 0.8364  2 Be 2.09
Cu: 0.6019 0.1636 0.1636  2 Be 2.09
Cu: 0.6244 0.1094 0.6244  1 Be 2.13, 1 Al 2.38
Cu: 0.6244 0.6244 0.1094  1 Be 2.13, 1 Al 2.38
Cu: 0.8364 0.3981 0.8364  2 Be 2.09
Cu: 0.8364 0.8364 0.3981  2 Be 2.09
Cu: 0.8906 0.3756 0.3756  1 Be 2.13, 1 Al 2.38

Calculated values
Energy of formation   0.298 eV per atom

---

Entry 3:
Compound: ThBeAl2Cu4
Source: Alexandria
Functional: PBE-GGA
Structure: optimized geometry

a b c (Å): 8.7754 8.7754 8.7754
angles (deg): 27.01 27.01 27.01
Last column: nearest neighbours and their distance in Å.
Fractional coordinates of all 8 atoms:
Th: 0.0000 0.0000 0.0000  6 Cu 3.06, 6 Al 3.38
Be: 0.5000 0.5000 0.5000  8 Cu 2.29-2.48
Al: 0.2383 0.2383 0.2383  7 Cu 2.41-2.59
Al: 0.7617 0.7617 0.7617  7 Cu 2.41-2.59
Cu: 0.1371 0.1371 0.1371  3 Be 2.48, 4 Al 2.57-2.59
Cu: 0.4096 0.4096 0.4096  1 Be 2.29, 3 Al 2.41
Cu: 0.5904 0.5904 0.5904  1 Be 2.29, 3 Al 2.41
Cu: 0.8629 0.8629 0.8629  3 Be 2.48, 4 Al 2.57-2.59

Calculated values
Energy of formation   -0.228 eV per atom

---

Entry 4:
Compound: Th2BeAl4Cu3
Source: Alexandria
Functional: PBE-GGA
Structure: optimized geometry

a b c (Å): 4.2235 4.2235 10.0397
angles (deg): 90.00 90.00 90.00
Last column: nearest neighbours and their distance in Å.
Fractional coordinates of all 10 atoms:
Th: 0.0000 0.5000 0.2410  2 Be 3.21, 6 Cu 3.21-3.24, 8 Al 3.21-3.35
Th: 0.5000 0.0000 0.7590  6 Cu 3.21-3.24, 2 Be 3.21, 8 Al 3.21-3.35
Be: 0.5000 0.5000 0.0000  4 Al 2.44
Al: 0.0000 0.0000 0.5000  4 Cu 2.50
Al: 0.0000 0.5000 0.8776  2 Be 2.44, 3 Cu 2.44-2.45
Al: 0.5000 0.0000 0.1224  2 Be 2.44, 3 Cu 2.44-2.45
Al: 0.5000 0.5000 0.5000  4 Cu 2.50
Cu: 0.0000 0.0000 0.0000  4 Al 2.44
Cu: 0.0000 0.5000 0.6339  5 Al 2.45-2.50
Cu: 0.5000 0.0000 0.3661  5 Al 2.45-2.50

Calculated values
Energy of formation   -0.378 eV per atom

---

Entry 5:
Compound: ThBeAlCu6
Source: Alexandria
Functional: PBE-GGA
Structure: optimized geometry

a b c (Å): 8.1906 8.1906 8.1906
angles (deg): 142.92 122.89 70.07
Last column: nearest neighbours and their distance in Å.
Fractional coordinates of all 18 atoms:
Th: 0.2515 0.0015 0.2500  10 Cu 3.01-3.19, 4 Al 3.26
Th: 0.7485 0.9985 0.7500  10 Cu 3.01-3.19, 4 Al 3.26
Be: 0.5000 0.0000 0.0000  6 Cu 2.24-2.38
Be: 0.5000 0.5000 0.5000  6 Cu 2.24-2.38
Al: 0.0000 0.5000 0.5000  6 Cu 2.48-2.52
Al: 0.5000 0.5000 0.0000  6 Cu 2.48-2.52
Cu: 0.0003 0.2503 0.7500  10 Cu 2.57-2.61
Cu: 0.9997 0.7497 0.2500  10 Cu 2.57-2.61
Cu: 0.1487 0.4004 0.2316  1 Be 2.38, 5 Cu 2.45-2.61, 1 Al 2.52
Cu: 0.1487 0.9170 0.7482  1 Be 2.38, 5 Cu 2.45-2.61, 1 Al 2.52
Cu: 0.3312 0.0830 0.7316  1 Be 2.38, 5 Cu 2.45-2.61, 1 Al 2.52
Cu: 0.3312 0.5996 0.2482  1 Be 2.38, 5 Cu 2.45-2.61, 1 Al 2.52
Cu: 0.3637 0.6137 0.7500  2 Be 2.24, 2 Al 2.48
Cu: 0.6363 0.3863 0.2500  2 Be 2.24, 2 Al 2.48
Cu: 0.6688 0.4004 0.7518  1 Be 2.38, 5 Cu 2.45-2.61, 1 Al 2.52
Cu: 0.6688 0.9170 0.2684  1 Be 2.38, 5 Cu 2.45-2.61, 1 Al 2.52
Cu: 0.8513 0.0830 0.2518  1 Be 2.38, 5 Cu 2.45-2.61, 1 Al 2.52
Cu: 0.8513 0.5996 0.7684  1 Be 2.38, 5 Cu 2.45-2.61, 1 Al 2.52

Calculated values
Energy of formation   -0.035 eV per atom

---

Entry 6:
Compound: TmBeAlCu6
Source: Alexandria
Functional: PBE-GGA
Structure: optimized geometry

a b c (Å): 7.2783 7.2783 7.2783
angles (deg): 129.51 112.41 89.01
Last column: nearest neighbours and their distance in Å.
Fractional coordinates of all 18 atoms:
Tm: 0.4592 0.2092 0.2500  10 Cu 2.87-3.00, 2 Be 2.97
Tm: 0.5408 0.7908 0.7500  10 Cu 2.87-3.00, 2 Be 2.97
Be: 0.0000 0.0000 0.0000  6 Cu 2.14-2.24
Be: 0.5000 0.0000 0.5000  6 Cu 2.14-2.24
Al: 0.0000 0.0000 0.5000  6 Cu 2.45-2.46
Al: 0.0000 0.5000 0.0000  6 Cu 2.45-2.46
Cu: 0.1214 0.4193 0.3008  1 Be 2.24, 1 Al 2.46, 2 Cu 2.49
Cu: 0.1214 0.8205 0.7021  1 Be 2.24, 1 Al 2.46, 2 Cu 2.49
Cu: 0.1827 0.9327 0.2500  2 Be 2.14
Cu: 0.2516 0.5016 0.7500  8 Cu 2.67-2.70
Cu: 0.3816 0.1795 0.8008  1 Be 2.24, 1 Al 2.46, 2 Cu 2.49
Cu: 0.3816 0.5807 0.2021  1 Be 2.24, 1 Al 2.46, 2 Cu 2.49
Cu: 0.6184 0.4193 0.7979  1 Be 2.24, 1 Al 2.46, 2 Cu 2.49
Cu: 0.6184 0.8205 0.1992  1 Be 2.24, 1 Al 2.46, 2 Cu 2.49
Cu: 0.7484 0.4984 0.2500  8 Cu 2.67-2.70
Cu: 0.8173 0.0673 0.7500  2 Be 2.14
Cu: 0.8786 0.1795 0.2979  1 Be 2.24, 1 Al 2.46, 2 Cu 2.49
Cu: 0.8786 0.5807 0.6992  1 Be 2.24, 1 Al 2.46, 2 Cu 2.49

Calculated values
Energy of formation   0.074 eV per atom

---

Entry 7:
Compound: Tm2BeAl3Cu12
Source: Alexandria
Functional: PBE-GGA
Structure: optimized geometry

a b c (Å): 11.6297 11.6297 11.6297
angles (deg): 26.47 26.47 26.47
Last column: nearest neighbours and their distance in Å.
Fractional coordinates of all 18 atoms:
Tm: 0.1438 0.1438 0.1438  9 Cu 2.84-2.98, 3 Be 3.17
Tm: 0.8562 0.8562 0.8562  9 Cu 2.84-2.98, 3 Be 3.17
Be: 0.5000 0.5000 0.5000  6 Cu 2.32
Al: 0.0000 0.5000 0.5000  4 Cu 2.52, 4 Al 2.66
Al: 0.5000 0.0000 0.5000  4 Cu 2.52, 4 Al 2.66
Al: 0.5000 0.5000 0.0000  4 Cu 2.52, 4 Al 2.66
Cu: 0.0986 0.0986 0.6285  4 Cu 2.48-2.50, 2 Al 2.52
Cu: 0.0986 0.6285 0.0986  4 Cu 2.48-2.50, 2 Al 2.52
Cu: 0.1201 0.6114 0.6114  1 Be 2.32, 2 Cu 2.48
Cu: 0.3715 0.9014 0.9014  4 Cu 2.48-2.50, 2 Al 2.52
Cu: 0.3886 0.3886 0.8799  1 Be 2.32, 2 Cu 2.48
Cu: 0.3886 0.8799 0.3886  1 Be 2.32, 2 Cu 2.48
Cu: 0.6114 0.1201 0.6114  1 Be 2.32, 2 Cu 2.48
Cu: 0.6114 0.6114 0.1201  1 Be 2.32, 2 Cu 2.48
Cu: 0.6285 0.0986 0.0986  4 Cu 2.48-2.50, 2 Al 2.52
Cu: 0.8799 0.3886 0.3886  1 Be 2.32, 2 Cu 2.48
Cu: 0.9014 0.3715 0.9014  4 Cu 2.48-2.50, 2 Al 2.52
Cu: 0.9014 0.9014 0.3715  4 Cu 2.48-2.50, 2 Al 2.52

Calculated values
Energy of formation   0.045 eV per atom

---

Entry 8:
Compound: Tm2Be3AlCu12
Source: Alexandria
Functional: PBE-GGA
Structure: optimized geometry

a b c (Å): 7.1967 7.1967 7.1967
angles (deg): 62.80 62.80 62.80
Last column: nearest neighbours and their distance in Å.
Fractional coordinates of all 18 atoms:
Tm: 0.0982 0.0982 0.0982  6 Cu 2.74-2.79
Tm: 0.9018 0.9018 0.9018  6 Cu 2.74-2.79
Be: 0.0000 0.5000 0.5000  6 Cu 2.09-2.14
Be: 0.5000 0.0000 0.5000  6 Cu 2.09-2.14
Be: 0.5000 0.5000 0.0000  6 Cu 2.09-2.14
Al: 0.5000 0.5000 0.5000  6 Cu 2.42
Cu: 0.1023 0.6344 0.6344  1 Be 2.14
Cu: 0.1630 0.1630 0.6040  2 Be 2.09
Cu: 0.1630 0.6040 0.1630  2 Be 2.09
Cu: 0.3656 0.3656 0.8977  1 Be 2.14
Cu: 0.3656 0.8977 0.3656  1 Be 2.14
Cu: 0.3960 0.8370 0.8370  2 Be 2.09
Cu: 0.6040 0.1630 0.1630  2 Be 2.09
Cu: 0.6344 0.1023 0.6344  1 Be 2.14
Cu: 0.6344 0.6344 0.1023  1 Be 2.14
Cu: 0.8370 0.3960 0.8370  2 Be 2.09
Cu: 0.8370 0.8370 0.3960  2 Be 2.09
Cu: 0.8977 0.3656 0.3656  1 Be 2.14

Calculated values
Energy of formation   0.294 eV per atom

---

Entry 9:
Compound: Y2Be3AlCu12
Source: Alexandria
Functional: PBE-GGA
Structure: optimized geometry

a b c (Å): 7.2565 7.2565 7.2565
angles (deg): 62.38 62.38 62.38
Last column: nearest neighbours and their distance in Å.
Fractional coordinates of all 18 atoms:
Y: 0.1004 0.1004 0.1004  6 Cu 2.80-2.83
Y: 0.8996 0.8996 0.8996  6 Cu 2.80-2.83
Be: 0.0000 0.5000 0.5000  6 Cu 2.08-2.13
Be: 0.5000 0.0000 0.5000  6 Cu 2.08-2.13
Be: 0.5000 0.5000 0.0000  6 Cu 2.08-2.13
Al: 0.5000 0.5000 0.5000  6 Cu 2.41
Cu: 0.1054 0.6299 0.6299  1 Be 2.13
Cu: 0.1652 0.1652 0.6017  2 Be 2.08
Cu: 0.1652 0.6017 0.1652  2 Be 2.08
Cu: 0.3701 0.3701 0.8946  1 Be 2.13
Cu: 0.3701 0.8946 0.3701  1 Be 2.13
Cu: 0.3983 0.8348 0.8348  2 Be 2.08
Cu: 0.6017 0.1652 0.1652  2 Be 2.08
Cu: 0.6299 0.1054 0.6299  1 Be 2.13
Cu: 0.6299 0.6299 0.1054  1 Be 2.13
Cu: 0.8348 0.3983 0.8348  2 Be 2.08
Cu: 0.8348 0.8348 0.3983  2 Be 2.08
Cu: 0.8946 0.3701 0.3701  1 Be 2.13

Calculated values
Energy of formation   0.292 eV per atom

---

Entry 10:
Compound: YBeAlCu
Source: Alexandria
Functional: PBE-GGA
Structure: optimized geometry

a b c (Å): 4.4991 4.4991 4.4991
angles (deg): 60.00 60.00 60.00
Last column: nearest neighbours and their distance in Å.
Fractional coordinates of all 4 atoms:
Y: 0.0000 0.0000 0.0000  4 Be 2.76, 4 Cu 2.76
Be: 0.2500 0.2500 0.2500  4 Al 2.76, 4 Y 2.76
Al: 0.5000 0.5000 0.5000  4 Be 2.76, 4 Cu 2.76
Cu: 0.7500 0.7500 0.7500  4 Al 2.76, 4 Y 2.76

Calculated values
Energy of formation   -0.205 eV per atom